Density functional theory data (PBE+U) for a relaxed structure of TlMo2F11.

Unit cell a=7.7094 b=8.2030 c=8.2030 alpha=73.45 beta=61.97 gamma=61.97
Each line ends with the local moment (μB).
Sites, in units of the cell vectors:
F1 0.3667 0.3006 0.4346  0.02
F2 0.9563 0.8319 0.4569  0.02
F3 0.0437 0.1681 0.5431  0.02
F4 0.1283 0.2186 0.7814  0.01
F5 0.7549 0.4569 0.8319  0.02
F6 0.8717 0.7814 0.2186  0.01
F7 0.8667 0.9346 0.8006  0.02
F8 0.3981 0.8006 0.9346  0.02
F9 0.6019 0.1994 0.0654  0.02
F10 0.6333 0.6994 0.5654  0.02
F11 0.7451 0.6681 0.0431  0.02
Mo1 0.8575 0.1808 0.8192  1.86
F12 0.2549 0.3319 0.9569  0.02
F13 0.6283 0.2814 0.7186  0.01
F14 0.0000 0.0000 0.0000  0.02
F15 0.8981 0.4346 0.3006  0.02
Tl1 0.2500 0.2500 0.2500  0.01
Mo2 0.3575 0.3192 0.6808  1.86
Mo3 0.6425 0.6808 0.3192  1.86
F16 0.5000 0.5000 0.5000  0.02
F17 0.2451 0.5431 0.1681  0.02
Mo4 0.1425 0.8192 0.1808  1.86
Tl2 0.7500 0.7500 0.7500  0.01
F18 0.4563 0.9569 0.3319  0.02
F19 0.1019 0.5654 0.6994  0.02
F20 0.1333 0.0654 0.1994  0.02
F21 0.5437 0.0431 0.6681  0.02
F22 0.3717 0.7186 0.2814  0.01

## Properties
DFT total energy = -4.88 eV per atom
Space group = Ibam (72)

***

Density functional theory data (PBE+U) for a relaxed structure of Tl4MoF6.

Unit cell a=7.7024 b=7.7024 c=9.3681 alpha=90.00 beta=90.00 gamma=90.00
Each line ends with the local moment (μB).
Sites, in units of the cell vectors:
Tl1 0.1735 0.6735 0.2500  0.00
Tl2 0.8265 0.3265 0.2500  0.00
Mo1 0.0000 0.0000 0.5000  2.77
Tl3 0.8265 0.3265 0.7500  0.00
Tl4 0.1735 0.6735 0.7500  0.00
F1 0.1500 0.2287 0.5000  0.02
F2 0.0000 0.0000 0.2736  0.02
F3 0.6500 0.2713 0.0000  0.02
F4 0.7713 0.1500 0.5000  0.02
Tl5 0.6735 0.8265 0.7500  0.00
F5 0.0000 0.0000 0.7264  0.02
Tl6 0.3265 0.1735 0.2500  0.00
F6 0.5000 0.5000 0.2264  0.02
Tl7 0.6735 0.8265 0.2500  0.00
F7 0.7287 0.6500 0.0000  0.02
Mo2 0.5000 0.5000 0.0000  2.77
F8 0.8500 0.7713 0.5000  0.02
F9 0.3500 0.7287 0.0000  0.02
Tl8 0.3265 0.1735 0.7500  0.00
F10 0.5000 0.5000 0.7736  0.02
F11 0.2713 0.3500 0.0000  0.02
F12 0.2287 0.8500 0.5000  0.02

## Properties
DFT total energy = -4.36 eV per atom
Space group = P4/mnc (128)